The following is a PBE calculation of an optimized crystal structure of NaLa2GaH, from the Alexandria database.

Summary:
E   -19.01 eV/cell
N(E_F)   3.673 states/eV per cell

Structure (POSCAR):
```
NaLa2GaH
1.0
5.084 0.000 0.000
0.000 5.084 0.000
0.000 0.000 4.492
Ga H La Na
1 1 2 1
Direct
0.500 0.500 0.500
0.000 0.000 0.000
0.000 0.500 0.000
0.500 0.000 0.000
0.000 0.000 0.500
```

---

The following is a PBE calculation of an optimized crystal structure of CaTeAs2, from the Alexandria database.

Summary:
E   -16.00 eV/cell
ΔE_f (raw)   -390 meV/atom
N(E_F)   2.757 states/eV per cell

Structure (POSCAR):
```
CaTeAs2
1.0
-1.262 2.836 1.670
-3.135 -1.580 0.314
2.485 -3.409 7.666
Te As Ca
1 2 1
Direct
0.500 0.500 0.706
0.500 0.500 0.222
0.000 0.000 0.106
0.000 0.000 0.467
```

---

The following is a PBE calculation of an optimized crystal structure of Y3Sc2, from the Alexandria database.

Summary:
E_form   344 meV/atom
E   -30.34 eV/cell
Relative energy among the computed polymorphs   1.596 eV per formula unit
N(E_F)   9.189 states/eV per cell

Structure (POSCAR):
```
Y3Sc2
1.0
2.677 -4.636 0.000
2.677 4.636 0.000
0.000 0.000 6.517
Sc Y
2 3
Direct
0.333 0.667 0.881
0.667 0.333 0.119
0.000 0.000 0.000
0.333 0.667 0.356
0.667 0.333 0.644
```